The following is a DFT calculation (PBE+U) of crystalline CdCoNO2 at its relaxed geometry.

Calculated volume, Å³/atom: 10.82
Total energy, eV per cell: -23.604

abc: 3.985 3.985 3.407
angles: 90.00 90.00 90.00
Sites, in units of the cell vectors:
Cd  0.000  0.000  0.000
Co  0.500  0.500  0.500
N  0.500  0.500  0.000
O  0.000  0.500  0.500
O  0.500  0.000  0.500